1.
Density functional theory data (PBE) for a geometry-optimized MgZn17In structure.

Lattice parameters (Å, degrees): 9.0789 9.0789 13.1353 90.00 90.00 120.00
Space group R3m (No. 160, hexagonal axes)
Asymmetric unit:
Mg 0.0000 0.0000 0.0000 [3 per cell]
Zn 0.0000 0.0000 0.2362 [3 per cell]
Zn 0.0000 0.0000 0.4480 [3 per cell]
Zn 0.0022 0.5011 0.4907 [9 per cell]
Zn 0.0029 0.5014 0.8367 [9 per cell]
Zn 0.0295 0.3615 0.0040 [18 per cell]
Zn 0.1704 0.3409 0.5197 [9 per cell]
In 0.0000 0.0000 0.6963 [3 per cell]

Summary:
* DFT total energy: -1.34 eV/atom
* total moment: 0.00 μB/cell
* ΔH_f (0 K): 51.5 kJ/mol of formula units

=====

2.
Density functional theory data (PBE) for a geometry-optimized Mg5ZnIn2 structure.

Lattice parameters (Å, degrees): 4.7574 4.7574 19.2861 90.00 90.00 120.00
Space group P6_3/mmc (No. 194)
Asymmetric unit:
Mg 0.0000 0.0000 0.1666 [4 per cell]
Mg 0.3333 0.6667 0.0501 [4 per cell]
Mg 0.3333 0.6667 0.2500 [2 per cell]
Zn 0.3333 0.6667 0.7500 [2 per cell]
In 0.3333 0.6667 0.6053 [4 per cell]

Summary:
* DFT total energy: -1.86 eV/atom
* total moment: 0.00 μB/cell
* ΔH_f (0 K): -14.7 kJ/mol of formula units